5
Lattice="6.0605 0.0000 0.0000 0.0000 4.8392 0.0000 0.0000 0.0000 6.0605" Properties=species:S:1:pos:R:3 comment="Bi2RuIBr | Alexandria | PBE-GGA | relaxed" sg="No. 123" dft_energy_ev_per_cell=-14.5 raw_formation_energy_ev_per_atom=1.160 pbc="T T T"
Bi 3.0302 0.0000 0.0000
Bi 0.0000 0.0000 3.0302
I 0.0000 0.0000 0.0000
Ru 0.0000 2.4196 0.0000
Br 3.0302 2.4196 3.0302

***

5
Lattice="-2.4770 -0.0709 -3.7824 0.1048 -4.5206 0.0161 -4.4089 -0.0920 2.8890" Properties=species:S:1:pos:R:3 comment="TiPSCl2 | Alexandria | PBE-GGA | relaxed" e_above_lowest_polymorph_mev_per_atom=99.2 sg="No. 123" dft_energy_ev_per_cell=-21.8 raw_formation_energy_ev_per_atom=-0.141 pbc="T T T"
P -2.2045 -0.0460 1.4445
Cl -1.2385 -0.0354 -1.8912
Cl 0.0524 -2.2603 0.0080
S -3.3906 -2.3417 -0.4386
Ti 0.0000 0.0000 0.0000